# NaAg2BrF2

Crystalline NaAg2BrF2 at its relaxed geometry (GGA-PBE, the Alexandria database).

## Properties
The value obtained for the uncorrected formation energy is -1.220 eV per atom. The space-group type is P2_1/m, No. 11. The total energy is -3.29 eV/atom.

Lattice parameters (Å, degrees): 6.242 5.758 6.635 90.00 104.34 90.00
Fractional coordinates of all 12 atoms:
Na  0.112  0.250  0.009
Na  0.888  0.750  0.991
Ag  0.063  0.250  0.509
Ag  0.440  0.750  0.336
Ag  0.560  0.250  0.664
Ag  0.937  0.750  0.491
Br  0.414  0.750  0.745
Br  0.586  0.250  0.255
F  0.089  0.518  0.243
F  0.089  0.982  0.243
F  0.911  0.018  0.757
F  0.911  0.482  0.757